1.
Material: Nb3SiHg
Method: DFT, GGA-PBE
State: optimized geometry

Properties
For the total moment, the calculation gives 0.00 Bohr magnetons per cell. The value obtained for the raw formation energy is 0.58 eV/atom. Its electronic total energy is -6.604 eV per atom. The energy above the lowest structure with this stoichiometry is 0 meV/atom.

```
Nb3SiHg
1.0
4.690 0.000 0.000
0.000 4.690 0.000
0.000 0.000 4.690
Nb Si Hg
3 1 1
Cartesian
0.000 0.000 2.345
0.000 2.345 0.000
2.345 0.000 0.000
0.000 0.000 0.000
2.345 2.345 2.345
```


2.
Material: NaCd2Hg3
Method: DFT, GGA-PBE
State: optimized geometry

Properties
For the total moment, the calculation gives 0.00 Bohr magnetons per cell. The calculation puts the formation energy at -0.102 eV per atom. Its electronic total energy is -0.777 eV per atom.

```
NaCd2Hg3
1.0
5.135 0.000 0.000
-2.567 4.447 0.000
0.000 0.000 12.849
Na Cd Hg
2 4 6
Cartesian
0.000 2.965 2.202
2.567 1.482 10.647
0.000 0.000 0.000
0.000 0.000 6.425
0.000 2.965 8.679
2.567 1.482 4.170
0.000 0.000 3.293
0.000 0.000 9.557
0.000 2.965 5.409
0.000 2.965 11.907
2.567 1.482 0.942
2.567 1.482 7.441
```


Among the records above, which one has the highest electronic total energy?
NaCd2Hg3